Density functional theory data (PBE-GGA) for an optimized crystal structure of Sr3Li9Mg2.

Unit cell a=5.072 b=9.425 c=9.425 alpha=68.05 beta=74.39 gamma=74.39
Fractional positions:
Li  0.121  0.158  0.600
Li  0.879  0.842  0.400
Li  0.320  0.028  0.332
Li  0.680  0.668  0.972
Li  0.121  0.600  0.158
Li  0.320  0.332  0.028
Li  0.000  0.500  0.500
Li  0.680  0.972  0.668
Li  0.879  0.400  0.842
Sr  0.692  0.308  0.308
Sr  0.000  0.000  0.000
Sr  0.308  0.692  0.692
Mg  0.500  0.716  0.284
Mg  0.500  0.284  0.716

Calculated values
E: -1.81 eV per atom
energy relative to the elements: 0.009 eV per atom